No. 1
## Ru2WAu (PBE-GGA)

Data for an optimized crystal structure of Ru2WAu.

abc: 4.7264 4.7264 2.8592
angles: 90.00 90.00 106.89
Closest atoms and distances in Å follow each position.
Atoms (fractional coordinates):
1 Au 0.0000 0.5000 0.5000  8 Ru 2.76, 2 W 2.82, 2 Au 2.86
2 Ru 0.0000 0.0000 0.0000  4 Au 2.76, 4 W 2.76, 4 Ru 2.82-2.86
3 Ru 0.5000 0.5000 0.0000  4 W 2.76, 4 Au 2.76, 4 Ru 2.82-2.86
4 W 0.5000 0.0000 0.5000  8 Ru 2.76, 2 Au 2.82, 2 W 2.86

Calculated values
symmetry = Cmmm, No. 65
density of states at the Fermi level = 3.10 states/eV/cell
calculated total energy = -33.7 eV/cell
magnetization = 0.000 μB per formula unit

=====

No. 2
## Ru2WAu (PBE-GGA)

Data for an optimized crystal structure of Ru2WAu.

abc: 4.4375 4.4375 4.4375
angles: 60.00 60.00 60.00
Closest atoms and distances in Å follow each position.
Atoms (fractional coordinates):
1 Ru 0.2500 0.2500 0.2500  4 Au 2.72, 4 W 2.72
2 Ru 0.7500 0.7500 0.7500  4 Au 2.72, 4 W 2.72
3 Au 0.5000 0.5000 0.5000  8 Ru 2.72
4 W 0.0000 0.0000 0.0000  8 Ru 2.72

Calculated values
symmetry = Fm-3m, No. 225
density of states at the Fermi level = 5.95 states/eV/cell
calculated total energy = -33.6 eV/cell
magnetization = 0.000 μB per formula unit

=====

No. 3
## RuWAu2 (PBE-GGA)

Data for an optimized crystal structure of RuWAu2.

abc: 4.5352 4.5352 4.5352
angles: 60.00 60.00 60.00
Closest atoms and distances in Å follow each position.
Atoms (fractional coordinates):
1 Au 0.0000 0.0000 0.0000  4 W 2.78, 4 Au 2.78
2 Au 0.2500 0.2500 0.2500  4 Au 2.78, 4 Ru 2.78
3 Ru 0.5000 0.5000 0.5000  4 W 2.78, 4 Au 2.78
4 W 0.7500 0.7500 0.7500  4 Ru 2.78, 4 Au 2.78

Calculated values
symmetry = F-43m, No. 216
density of states at the Fermi level = 4.50 states/eV/cell
calculated total energy = -26.6 eV/cell
magnetization = 0.001 μB per formula unit